Crystalline MgNbV2F at its relaxed geometry. Source: Alexandria via LeMat-Bulk, functional PBE with a Hubbard U.

Unit cell a=5.0010 b=5.0010 c=5.1692 alpha=90.00 beta=90.00 gamma=90.00
Sites, in units of the cell vectors:
Mg: 0.0000 0.0000 0.0000
Nb: 0.0000 0.0000 0.5000
V: 0.0000 0.5000 0.0000
V: 0.5000 0.0000 0.0000
F: 0.5000 0.5000 0.5000

Summary:
* magnetic moment: 4.2 μB/f.u.
* N(E_F): 0.682 states/eV per atom
* volume: 129 Å³ per cell
* space-group type: P4/mmm (123)
* electronic total energy: -20.099 eV/cell